Ba2CuAg after structural relaxation. Source: Alexandria via LeMat-Bulk, functional PBE.

Structure (POSCAR):
```
Ba2CuAg
1.0
4.788 0.000 0.000
0.000 4.803 0.000
-0.047 0.000 6.783
Ba Cu Ag
2 1 1
direct
0.000 0.000 0.000 Ba
0.500 0.500 0.500 Ba
0.000 0.000 0.500 Cu
0.500 0.500 0.000 Ag
```

Uncorrected energy (eV/atom): -2.72
Symmetry: P2/m (10)
Size of the total moment (μB per atom): 0.000
Energy of formation from the pure elements (eV per atom): -0.02